## Zn4As3 (PBE-GGA)

Data for a relaxed structure of Zn4As3.

Lattice parameters (Å, degrees): 3.8939 3.8939 29.7758 90.00 90.00 120.00
Space group R-3m (No. 166, hexagonal axes)
Inequivalent atoms, fractional coordinates:
1 Zn 0.0000 0.0000 0.1390 [6 per cell]
2 Zn 0.0000 0.0000 0.2873 [6 per cell]
3 As 0.0000 0.0000 0.0000 [3 per cell]
4 As 0.0000 0.0000 0.4340 [6 per cell]

Output
**Raw total energy**: -2.626 eV per atom
**ΔE to the lowest computed polymorph**: 0.000 eV per formula unit